# 1
A plane-wave DFT calculation with PBE was carried out for crystalline CaCuRe at its relaxed geometry.

Computed properties:
Magnetic moment, μB per atom: 0.000
Fermi-level density of states, states/eV per atom: 0.627
Energy above the lowest structure with this stoichiometry, meV/atom: 557
Energy relative to the elements, eV/atom: 0.742
Final energy, eV per atom: -5.4404
Space-group type: P3m1 (156)

a = 2.8675 Å, b = 2.8675 Å, c = 7.2569 Å
α = 90.00°, β = 90.00°, γ = 120.00°
Last column: nearest neighbours and their distance in Å.
Atoms (fractional coordinates):
1 Ca 0.0000 0.0000 0.0000  6 Ca 2.87, 3 Cu 3.05, 3 Re 3.07
2 Cu 0.6667 0.3333 0.3530  3 Re 2.68, 6 Cu 2.87
3 Re 0.3333 0.6667 0.6442  3 Cu 2.68, 6 Re 2.87

# 2
A plane-wave DFT calculation with PBE was carried out for crystalline Ca2CuRe at its relaxed geometry.

Computed properties:
Magnetic moment, μB per atom: 0.000
Fermi-level density of states, states/eV per atom: 0.817
Energy above the lowest structure with this stoichiometry, meV/atom: 102
Energy relative to the elements, eV/atom: 0.564
Final energy, eV per atom: -4.5732
Space-group type: P2/m (10)

a = 2.9717 Å, b = 3.2164 Å, c = 8.6352 Å
α = 90.00°, β = 90.06°, γ = 90.00°
Last column: nearest neighbours and their distance in Å.
Atoms (fractional coordinates):
1 Ca 0.0006 0.0000 0.2531  4 Ca 2.97-3.22, 4 Cu 3.05-3.06, 4 Re 3.09
2 Ca 0.9994 0.0000 0.7469  4 Ca 2.97-3.22, 4 Cu 3.05-3.06, 4 Re 3.09
3 Cu 0.5000 0.5000 0.5000  4 Cu 2.97-3.22, 8 Ca 3.05-3.06
4 Re 0.5000 0.5000 0.0000  4 Re 2.97-3.22, 8 Ca 3.09

# 3
A plane-wave DFT calculation with PBE was carried out for crystalline CaCu2Re at its relaxed geometry.

Computed properties:
Magnetic moment, μB per atom: 0.000
Fermi-level density of states, states/eV per atom: 0.673
Energy above the lowest structure with this stoichiometry, meV/atom: 11
Energy relative to the elements, eV/atom: 0.406
Final energy, eV per atom: -5.2547
Space-group type: Pmm2 (25)

a = 2.7671 Å, b = 4.6801 Å, c = 4.8322 Å
α = 90.00°, β = 90.00°, γ = 90.00°
Last column: nearest neighbours and their distance in Å.
Atoms (fractional coordinates):
1 Ca 0.0000 0.0000 0.0000  2 Ca 2.77, 8 Cu 2.77-2.79
2 Cu 0.5000 0.0000 0.4978  4 Re 2.74, 4 Cu 2.77-3.02, 4 Ca 2.78-2.79
3 Cu 0.5000 0.5000 0.8930  4 Re 2.65-2.92, 2 Cu 2.77, 4 Ca 2.77
4 Re 0.0000 0.5000 0.4242  8 Cu 2.65-2.92, 2 Re 2.77